First-principles (PBE-GGA) data for La2TlRhC after structural relaxation, as listed in Alexandria via LeMat-Bulk.

Results
formation energy	-0.360	eV/atom
space group	P4/mmm

Cell lengths 5.471, 5.471, 3.956 Å; angles 90.00, 90.00, 90.00 degrees
Sites, in units of the cell vectors:
La (0.000, 0.500, 0.000)
La (0.500, 0.000, 0.000)
Tl (0.000, 0.000, 0.500)
Rh (0.500, 0.500, 0.500)
C (0.500, 0.500, 0.000)

First-principles (PBE-GGA) data for LaMg3Hg3 after structural relaxation, as listed in Alexandria via LeMat-Bulk.

Results
energy above the lowest structure with this stoichiometry	0.000	eV/atom
formation energy	-0.287	eV/atom
space group	P2_13

Cell lengths 8.817, 8.817, 8.817 Å; angles 90.00, 90.00, 90.00 degrees
Sites, in units of the cell vectors:
La (0.053, 0.447, 0.553)
La (0.447, 0.553, 0.053)
La (0.553, 0.053, 0.447)
La (0.947, 0.947, 0.947)
Mg (0.117, 0.617, 0.883)
Mg (0.178, 0.178, 0.178)
Mg (0.186, 0.814, 0.314)
Mg (0.314, 0.186, 0.814)
Mg (0.322, 0.822, 0.678)
Mg (0.383, 0.383, 0.383)
Mg (0.617, 0.883, 0.117)
Mg (0.678, 0.322, 0.822)
Mg (0.686, 0.686, 0.686)
Mg (0.814, 0.314, 0.186)
Mg (0.822, 0.678, 0.322)
Mg (0.883, 0.117, 0.617)
Hg (0.014, 0.301, 0.900)
Hg (0.100, 0.514, 0.199)
Hg (0.199, 0.100, 0.514)
Hg (0.301, 0.900, 0.014)
Hg (0.400, 0.486, 0.699)
Hg (0.486, 0.699, 0.400)
Hg (0.514, 0.199, 0.100)
Hg (0.600, 0.986, 0.801)
Hg (0.699, 0.400, 0.486)
Hg (0.801, 0.600, 0.986)
Hg (0.900, 0.014, 0.301)
Hg (0.986, 0.801, 0.600)

First-principles (PBE-GGA) data for Ba2BMoRu after structural relaxation, as listed in Alexandria via LeMat-Bulk.

Results
formation energy	1.397	eV/atom
space group	P4/mmm

Cell lengths 5.911, 5.911, 4.111 Å; angles 90.00, 90.00, 90.00 degrees
Sites, in units of the cell vectors:
Ba (0.000, 0.500, 0.000)
Ba (0.500, 0.000, 0.000)
B (0.000, 0.000, 0.500)
Mo (0.000, 0.000, 0.000)
Ru (0.500, 0.500, 0.500)

First-principles (PBE-GGA) data for ZnGeSe2N after structural relaxation, as listed in Alexandria via LeMat-Bulk.

Results
uncorrected formation energy	75	kJ per mole of atoms
energy above the lowest structure with this stoichiometry	0.129	eV/atom
space group	P4/mmm

Cell lengths 5.138, 5.138, 3.775 Å; angles 90.00, 90.00, 90.00 degrees
Sites, in units of the cell vectors:
Zn (0.000, 0.000, 0.000)
Ge (0.500, 0.500, 0.500)
Se (0.000, 0.500, 0.000)
Se (0.500, 0.000, 0.000)
N (0.000, 0.000, 0.500)

First-principles (PBE-GGA) data for CaMg6CO8 after structural relaxation, as listed in Alexandria via LeMat-Bulk.

Results
uncorrected formation energy	-196	kJ per mole of atoms
energy above the lowest structure with this stoichiometry	0.005	eV/atom
space group	P4/mmm

Cell lengths 4.341, 4.341, 8.611 Å; angles 90.00, 90.00, 90.00 degrees
Sites, in units of the cell vectors:
Ca (0.000, 0.000, 0.000)
Mg (0.000, 0.500, 0.260)
Mg (0.000, 0.500, 0.740)
Mg (0.500, 0.000, 0.260)
Mg (0.500, 0.000, 0.740)
Mg (0.500, 0.500, 0.000)
Mg (0.500, 0.500, 0.500)
C (0.000, 0.000, 0.500)
O (0.000, 0.000, 0.265)
O (0.000, 0.000, 0.735)
O (0.000, 0.500, 0.000)
O (0.000, 0.500, 0.500)
O (0.500, 0.000, 0.000)
O (0.500, 0.000, 0.500)
O (0.500, 0.500, 0.253)
O (0.500, 0.500, 0.747)

First-principles (PBE-GGA) data for La3Ga2SnPd6 after structural relaxation, as listed in Alexandria via LeMat-Bulk.

Results
formation energy	-0.728	eV/atom
space group	P-3m1

Cell lengths 5.814, 5.814, 8.850 Å; angles 90.00, 90.00, 120.00 degrees
Sites, in units of the cell vectors:
La (0.000, 0.000, 0.000)
La (0.333, 0.667, 0.624)
La (0.667, 0.333, 0.376)
Ga (0.333, 0.667, 0.016)
Ga (0.667, 0.333, 0.984)
Sn (0.000, 0.000, 0.500)
Pd (0.175, 0.350, 0.263)
Pd (0.175, 0.825, 0.263)
Pd (0.350, 0.175, 0.737)
Pd (0.650, 0.825, 0.263)
Pd (0.825, 0.175, 0.737)
Pd (0.825, 0.650, 0.737)

First-principles (PBE-GGA) data for Pm2HoBi after structural relaxation, as listed in Alexandria via LeMat-Bulk.

Results
energy above the lowest structure with this stoichiometry	0.000	eV/atom
formation energy	-0.394	eV/atom
space group	Cmcm

Cell lengths 11.853, 11.853, 4.660 Å; angles 90.00, 90.00, 157.30 degrees
Sites, in units of the cell vectors:
Pm (0.061, 0.939, 0.750)
Pm (0.435, 0.565, 0.750)
Pm (0.565, 0.435, 0.250)
Pm (0.939, 0.061, 0.250)
Ho (0.308, 0.692, 0.250)
Ho (0.692, 0.308, 0.750)
Bi (0.173, 0.827, 0.250)
Bi (0.827, 0.173, 0.750)

First-principles (PBE-GGA) data for Na5Ce3O12 after structural relaxation, as listed in Alexandria via LeMat-Bulk.

Results
uncorrected formation energy	-169	kJ per mole of atoms
space group	Ia-3d

Cell lengths 11.654, 11.654, 11.654 Å; angles 109.47, 109.47, 109.47 degrees
Sites, in units of the cell vectors:
Na (0.000, 0.000, 0.000)
Na (0.000, 0.000, 0.500)
Na (0.000, 0.500, 0.000)
Na (0.000, 0.500, 0.500)
Na (0.125, 0.750, 0.875)
Na (0.125, 0.875, 0.250)
Na (0.250, 0.125, 0.875)
Na (0.250, 0.625, 0.375)
Na (0.375, 0.250, 0.625)
Na (0.375, 0.625, 0.750)
Na (0.500, 0.000, 0.000)
Na (0.500, 0.000, 0.500)
Na (0.500, 0.500, 0.000)
Na (0.500, 0.500, 0.500)
Na (0.625, 0.375, 0.250)
Na (0.625, 0.750, 0.375)
Na (0.750, 0.375, 0.625)
Na (0.750, 0.875, 0.125)
Na (0.875, 0.125, 0.750)
Na (0.875, 0.250, 0.125)
Ce (0.125, 0.250, 0.375)
Ce (0.125, 0.375, 0.750)
Ce (0.250, 0.375, 0.125)
Ce (0.250, 0.875, 0.625)
Ce (0.375, 0.125, 0.250)
Ce (0.375, 0.750, 0.125)
Ce (0.625, 0.250, 0.875)
Ce (0.625, 0.875, 0.750)
Ce (0.750, 0.125, 0.375)
Ce (0.750, 0.625, 0.875)
Ce (0.875, 0.625, 0.250)
Ce (0.875, 0.750, 0.625)
O (0.071, 0.248, 0.152)
O (0.071, 0.323, 0.919)
O (0.081, 0.652, 0.404)
O (0.081, 0.929, 0.677)
O (0.096, 0.748, 0.677)
O (0.096, 0.848, 0.419)
O (0.152, 0.071, 0.248)
O (0.152, 0.581, 0.904)
O (0.177, 0.248, 0.596)
O (0.177, 0.429, 0.581)
O (0.248, 0.152, 0.071)
O (0.248, 0.596, 0.177)
O (0.252, 0.323, 0.904)
O (0.252, 0.429, 0.348)
O (0.323, 0.904, 0.252)
O (0.323, 0.919, 0.071)
O (0.348, 0.252, 0.429)
O (0.348, 0.596, 0.919)
O (0.404, 0.081, 0.652)
O (0.404, 0.823, 0.752)
O (0.419, 0.096, 0.848)
O (0.419, 0.823, 0.571)
O (0.429, 0.348, 0.252)
O (0.429, 0.581, 0.177)
O (0.571, 0.419, 0.823)
O (0.571, 0.652, 0.748)
O (0.581, 0.177, 0.429)
O (0.581, 0.904, 0.152)
O (0.596, 0.177, 0.248)
O (0.596, 0.919, 0.348)
O (0.652, 0.404, 0.081)
O (0.652, 0.748, 0.571)
O (0.677, 0.081, 0.929)
O (0.677, 0.096, 0.748)
O (0.748, 0.571, 0.652)
O (0.748, 0.677, 0.096)
O (0.752, 0.404, 0.823)
O (0.752, 0.848, 0.929)
O (0.823, 0.571, 0.419)
O (0.823, 0.752, 0.404)
O (0.848, 0.419, 0.096)
O (0.848, 0.929, 0.752)
O (0.904, 0.152, 0.581)
O (0.904, 0.252, 0.323)
O (0.919, 0.071, 0.323)
O (0.919, 0.348, 0.596)
O (0.929, 0.677, 0.081)
O (0.929, 0.752, 0.848)

First-principles (PBE-GGA) data for NaNb2PtCl after structural relaxation, as listed in Alexandria via LeMat-Bulk.

Results
uncorrected formation energy	188	kJ per mole of atoms
space group	P4/mmm

Cell lengths 4.876, 4.876, 4.595 Å; angles 90.00, 90.00, 90.00 degrees
Sites, in units of the cell vectors:
Na (0.000, 0.000, 0.000)
Nb (0.000, 0.500, 0.000)
Nb (0.500, 0.000, 0.000)
Pt (0.000, 0.000, 0.500)
Cl (0.500, 0.500, 0.500)

First-principles (PBE-GGA) data for CaBr2 after structural relaxation, as listed in Alexandria via LeMat-Bulk.

Results
uncorrected formation energy	-176	kJ per mole of atoms
space group	I4_1/amd

Cell lengths 15.274, 15.274, 15.274 Å; angles 166.14, 166.14, 19.65 degrees
Sites, in units of the cell vectors:
Ca (0.375, 0.625, 0.750)
Ca (0.625, 0.375, 0.250)
Br (0.069, 0.819, 0.250)
Br (0.181, 0.931, 0.250)
Br (0.819, 0.069, 0.750)
Br (0.931, 0.181, 0.750)

First-principles (PBE-GGA) data for Gd3Sn5Se12 after structural relaxation, as listed in Alexandria via LeMat-Bulk.

Results
uncorrected formation energy	-83	kJ per mole of atoms
space group	Ia-3d

Cell lengths 14.524, 14.524, 14.524 Å; angles 109.47, 109.47, 109.47 degrees
Sites, in units of the cell vectors:
Gd (0.125, 0.250, 0.375)
Gd (0.125, 0.375, 0.750)
Gd (0.250, 0.375, 0.125)
Gd (0.250, 0.875, 0.625)
Gd (0.375, 0.125, 0.250)
Gd (0.375, 0.750, 0.125)
Gd (0.625, 0.250, 0.875)
Gd (0.625, 0.875, 0.750)
Gd (0.750, 0.125, 0.375)
Gd (0.750, 0.625, 0.875)
Gd (0.875, 0.625, 0.250)
Gd (0.875, 0.750, 0.625)
Sn (0.000, 0.000, 0.000)
Sn (0.000, 0.000, 0.500)
Sn (0.000, 0.500, 0.000)
Sn (0.000, 0.500, 0.500)
Sn (0.125, 0.750, 0.875)
Sn (0.125, 0.875, 0.250)
Sn (0.250, 0.125, 0.875)
Sn (0.250, 0.625, 0.375)
Sn (0.375, 0.250, 0.625)
Sn (0.375, 0.625, 0.750)
Sn (0.500, 0.000, 0.000)
Sn (0.500, 0.000, 0.500)
Sn (0.500, 0.500, 0.000)
Sn (0.500, 0.500, 0.500)
Sn (0.625, 0.375, 0.250)
Sn (0.625, 0.750, 0.375)
Sn (0.750, 0.375, 0.625)
Sn (0.750, 0.875, 0.125)
Sn (0.875, 0.125, 0.750)
Sn (0.875, 0.250, 0.125)
Se (0.050, 0.224, 0.138)
Se (0.050, 0.326, 0.912)
Se (0.086, 0.724, 0.674)
Se (0.086, 0.862, 0.412)
Se (0.088, 0.638, 0.414)
Se (0.088, 0.950, 0.674)
Se (0.138, 0.050, 0.224)
Se (0.138, 0.588, 0.914)
Se (0.174, 0.224, 0.586)
Se (0.174, 0.450, 0.588)
Se (0.224, 0.138, 0.050)
Se (0.224, 0.586, 0.174)
Se (0.276, 0.326, 0.914)
Se (0.276, 0.450, 0.362)
Se (0.326, 0.912, 0.050)
Se (0.326, 0.914, 0.276)
Se (0.362, 0.276, 0.450)
Se (0.362, 0.586, 0.912)
Se (0.412, 0.086, 0.862)
Se (0.412, 0.826, 0.550)
Se (0.414, 0.088, 0.638)
Se (0.414, 0.826, 0.776)
Se (0.450, 0.362, 0.276)
Se (0.450, 0.588, 0.174)
Se (0.550, 0.412, 0.826)
Se (0.550, 0.638, 0.724)
Se (0.586, 0.174, 0.224)
Se (0.586, 0.912, 0.362)
Se (0.588, 0.174, 0.450)
Se (0.588, 0.914, 0.138)
Se (0.638, 0.414, 0.088)
Se (0.638, 0.724, 0.550)
Se (0.674, 0.086, 0.724)
Se (0.674, 0.088, 0.950)
Se (0.724, 0.550, 0.638)
Se (0.724, 0.674, 0.086)
Se (0.776, 0.414, 0.826)
Se (0.776, 0.862, 0.950)
Se (0.826, 0.550, 0.412)
Se (0.826, 0.776, 0.414)
Se (0.862, 0.412, 0.086)
Se (0.862, 0.950, 0.776)
Se (0.912, 0.050, 0.326)
Se (0.912, 0.362, 0.586)
Se (0.914, 0.138, 0.588)
Se (0.914, 0.276, 0.326)
Se (0.950, 0.674, 0.088)
Se (0.950, 0.776, 0.862)

First-principles (PBE-GGA) data for MnCdBr2 after structural relaxation, as listed in Alexandria via LeMat-Bulk.

Results
uncorrected formation energy	-31	kJ per mole of atoms
energy above the lowest structure with this stoichiometry	0.135	eV/atom
space group	P2/m

Cell lengths 3.804, 3.599, 9.945 Å; angles 90.00, 100.06, 90.00 degrees
Sites, in units of the cell vectors:
Mn (0.000, 0.000, 0.000)
Cd (0.500, 0.000, 0.500)
Br (0.155, 0.500, 0.834)
Br (0.845, 0.500, 0.166)